No. 1
First-principles (PBE) data for crystalline Li5CaCd7 at its relaxed geometry, as listed in Alexandria.

Computed properties:
- DFT total energy (eV per atom) = -1.6062
- DFT formation energy (eV per atom) = -0.223

Lattice parameters (Å, degrees): 5.398 7.543 7.543 82.69 69.03 69.03
Fractional coordinates of all 13 atoms:
Cd 0.995 0.355 0.654
Cd 0.995 0.654 0.355
Cd 0.505 0.205 0.786
Cd 0.652 0.348 0.348
Cd 0.505 0.786 0.205
Li 0.001 0.499 0.001
Li 0.498 0.001 0.499
Li 0.001 0.001 0.499
Li 0.498 0.499 0.001
Ca 0.998 0.002 0.002
Li 0.722 0.778 0.778
Cd 0.287 0.213 0.213
Cd 0.342 0.658 0.658


No. 2
First-principles (PBE) data for crystalline RbTmScSe3 at its relaxed geometry, as listed in Alexandria.

Computed properties:
- formation energy without anion corrections (meV per atom) = -1561
- DFT total energy (eV per atom) = -5.2646

Lattice parameters (Å, degrees): 4.324 9.248 10.299 109.55 90.00 90.00
Fractional coordinates of all 12 atoms:
Rb 0.750 0.785 0.769
Rb 0.250 0.215 0.231
Sc 0.750 0.913 0.389
Sc 0.250 0.087 0.611
Se 0.750 0.875 0.130
Se 0.750 0.471 0.154
Tm 0.750 0.337 0.869
Se 0.250 0.125 0.870
Se 0.750 0.212 0.555
Se 0.250 0.788 0.445
Tm 0.250 0.663 0.131
Se 0.250 0.529 0.846


No. 3
First-principles (PBE) data for crystalline SrS2NF at its relaxed geometry, as listed in Alexandria.

Computed properties:
- relative energy among the computed polymorphs (meV/atom) = 0.0
- formation energy without anion corrections (meV per atom) = 307
- DFT total energy (eV per atom) = -3.7199

Lattice parameters (Å, degrees): 4.320 4.320 4.942 90.00 90.00 90.00
Last column: magnetic moment on the atom in μB.
Fractional coordinates of all 5 atoms:
S 0.500 0.000 0.000  0.05
N 0.000 0.000 0.500  1.46
Sr 0.500 0.500 0.500  0.00
S 0.000 0.500 0.000  0.05
F 0.000 0.000 0.000  0.02


No. 4
First-principles (PBE) data for crystalline TaBr at its relaxed geometry, as listed in Alexandria.

Computed properties:
- formation energy without anion corrections (meV per atom) = 596
- DFT total energy (eV per atom) = -6.1665

Lattice parameters (Å, degrees): 7.828 11.183 8.873 90.00 90.00 90.00
Fractional coordinates of all 32 atoms:
Ta 0.000 0.616 0.000
Ta 0.250 0.866 0.750
Br 0.953 0.250 0.250
Br 0.047 0.750 0.250
Ta 0.500 0.616 0.500
Ta 0.500 0.116 0.000
Ta 0.000 0.116 0.500
Br 0.797 0.500 0.500
Ta 0.750 0.866 0.250
Ta 0.000 0.384 0.000
Br 0.453 0.750 0.250
Br 0.703 0.000 0.500
Ta 0.500 0.884 0.000
Br 0.297 0.000 0.500
Br 0.547 0.750 0.750
Ta 0.750 0.366 0.750
Br 0.547 0.250 0.250
Br 0.297 0.500 0.000
Br 0.203 0.000 0.000
Ta 0.250 0.634 0.750
Ta 0.500 0.384 0.500
Br 0.953 0.750 0.750
Ta 0.250 0.134 0.250
Br 0.453 0.250 0.750
Br 0.047 0.250 0.750
Ta 0.250 0.366 0.250
Br 0.797 0.000 0.000
Br 0.203 0.500 0.500
Ta 0.750 0.134 0.750
Ta 0.750 0.634 0.250
Ta 0.000 0.884 0.500
Br 0.703 0.500 0.000


No. 5
First-principles (PBE) data for crystalline Ag4Te2Se at its relaxed geometry, as listed in Alexandria.

Computed properties:
- relative energy among the computed polymorphs (meV/atom) = 48.5
- formation energy without anion corrections (meV per atom) = 24
- DFT total energy (eV per atom) = -3.0003

Lattice parameters (Å, degrees): 7.301 5.759 8.541 93.71 95.47 83.15
Fractional coordinates of all 14 atoms:
Ag 0.161 0.222 0.509
Ag 0.538 0.601 0.286
Se 0.075 0.161 0.188
Ag 0.329 0.943 0.772
Se 0.925 0.839 0.812
Ag 0.462 0.399 0.714
Ag 0.195 0.745 0.065
Te 0.758 0.296 0.511
Ag 0.839 0.778 0.491
Te 0.242 0.704 0.489
Te 0.352 0.287 0.035
Ag 0.671 0.057 0.228
Te 0.648 0.713 0.965
Ag 0.805 0.255 0.935


No. 6
First-principles (PBE) data for crystalline La3AgPb at its relaxed geometry, as listed in Alexandria.

Computed properties:
- relative energy among the computed polymorphs (meV/atom) = 0.0
- DFT total energy (eV per atom) = -4.2288
- DFT formation energy (eV per atom) = 0.040

Lattice parameters (Å, degrees): 5.771 5.771 5.771 90.00 90.00 90.00
Fractional coordinates of all 5 atoms:
Pb 0.500 0.500 0.500
La 0.500 0.000 0.000
Ag 0.000 0.000 0.000
La 0.000 0.000 0.500
La 0.000 0.500 0.000


These records have total magnetization values of 0.00, 0.01, 2.33, 0.00, 0.00, 0.00 μB per formula unit, in the order they appear.